Ba3Mg2UO8: optimized geometry, PBE-GGA.

Cell lengths 6.003, 6.003, 7.728 Å; angles 90.00, 90.00, 120.00 degrees
Positions (direct):
1 Ba 0.000 0.000 0.000
2 Ba 0.333 0.667 0.668
3 Ba 0.667 0.333 0.332
4 Mg 0.333 0.667 0.214
5 Mg 0.667 0.333 0.786
6 U 0.000 0.000 0.500
7 O 0.162 0.323 0.338
8 O 0.162 0.838 0.338
9 O 0.323 0.162 0.662
10 O 0.333 0.667 0.972
11 O 0.667 0.333 0.028
12 O 0.677 0.838 0.338
13 O 0.838 0.162 0.662
14 O 0.838 0.677 0.662

Size of the total moment ... 0.00 Bohr magnetons per cell
Total DFT energy (no corrections) ... -98.494 eV for the cell shown
Uncorrected formation energy ... -38.58 eV per formula unit
SG ... P-3m1